## La2Ga3Pt5 (PBE-GGA)

Data for a geometry-optimized La2Ga3Pt5 structure.

abc: 5.859 8.935 8.935
angles: 67.93 70.86 70.86
Fractional coordinates of all 20 atoms:
La (0.141, 0.631, 0.087)
La (0.641, 0.087, 0.631)
La (0.859, 0.369, 0.913)
La (0.359, 0.913, 0.369)
Ga (0.397, 0.454, 0.752)
Ga (0.897, 0.752, 0.454)
Ga (0.603, 0.546, 0.248)
Ga (0.103, 0.248, 0.546)
Ga (0.250, 0.000, 0.000)
Ga (0.750, 0.000, 0.000)
Pt (0.368, 0.240, 0.025)
Pt (0.868, 0.025, 0.240)
Pt (0.632, 0.760, 0.975)
Pt (0.132, 0.975, 0.760)
Pt (0.536, 0.714, 0.714)
Pt (0.464, 0.286, 0.286)
Pt (0.750, 0.500, 0.500)
Pt (0.250, 0.500, 0.500)
Pt (0.964, 0.286, 0.286)
Pt (0.036, 0.714, 0.714)

Mass density in g/cm³: 12.198
Magnetization in Bohr magnetons per cell: 0.00
Relative energy among the computed polymorphs in eV per atom: 0.000
Space group: Ibam (72)